Entry 1:
Computed, not measured: crystalline Pr8Dy5Tm at its relaxed geometry at the GGA-PBE level of DFT.

Lattice parameters (Å, degrees): 13.091 11.288 9.198 90.00 134.07 90.00
Space group C2 (No. 5)
Unique sites:
Pr: 0.060 0.000 0.277 (multiplicity 4)
Pr: 0.064 0.557 0.289 (multiplicity 4)
Pr: 0.155 0.277 0.046 (multiplicity 4)
Pr: 0.200 0.085 0.768 (multiplicity 4)
Dy: 0.000 0.776 0.500 (multiplicity 2)
Dy: 0.183 0.279 0.463 (multiplicity 4)
Dy: 0.196 0.471 0.762 (multiplicity 4)
Tm: 0.000 0.778 0.000 (multiplicity 2)

Computed properties:
Calculated formation energy, eV per atom: 0.167

***

Entry 2:
Computed, not measured: crystalline Ce4Si3AsRh12 at its relaxed geometry at the GGA-PBE level of DFT.

Lattice parameters (Å, degrees): 9.069 9.069 9.069 90.00 90.00 90.00
Space group Im-3m (No. 229)
Unique sites:
Ce: 0.250 0.250 0.250 (multiplicity 8)
Si: 0.000 0.000 0.500 (multiplicity 6)
As: 0.000 0.000 0.000 (multiplicity 2)
Rh: 0.000 0.000 0.255 (multiplicity 12)
Rh: 0.000 0.250 0.500 (multiplicity 12)

Computed properties:
Formation energy from raw total energies, eV per atom: -0.525

***

Entry 3:
Computed, not measured: crystalline MnCd at its relaxed geometry at the GGA-PBE level of DFT.

Lattice parameters (Å, degrees): 12.318 2.940 6.050 90.00 104.03 90.00
Space group Cm (No. 8)
Unique sites:
Mn: 0.000 0.000 0.000 (multiplicity 2)
Mn: 0.001 0.000 0.552 (multiplicity 2)
Mn: 0.347 0.000 0.696 (multiplicity 2)
Cd: 0.161 0.500 0.359 (multiplicity 2)
Cd: 0.174 0.500 0.856 (multiplicity 2)
Cd: 0.354 0.000 0.207 (multiplicity 2)

Computed properties:
Calculated formation energy, eV per atom: 0.293

***

Entry 4:
Computed, not measured: crystalline TaNiIr at its relaxed geometry at the GGA-PBE level of DFT.

Lattice parameters (Å, degrees): 3.739 3.739 6.531 90.00 90.00 90.00
Space group P4/nmm (No. 129, origin choice 2)
Unique sites:
Ta: 0.250 0.250 0.156 (multiplicity 2)
Ni: 0.250 0.750 0.500 (multiplicity 2)
Ir: 0.250 0.250 0.766 (multiplicity 2)

Computed properties:
Calculated formation energy, eV per atom: -0.373
Distance to the lowest polymorph of the same formula, meV per atom: 112

***

> Number 3 is which compound?

MnCd